VASP calculation (GGA-PBE) on an optimized crystal structure of Pr2ErHf.

Unit cell a=3.498 b=3.498 c=11.612 alpha=81.34 beta=81.34 gamma=60.00
Fractional coordinates of all 4 atoms:
Pr  0.255  0.255  0.235
Pr  0.745  0.745  0.765
Hf  0.000  0.000  0.000
Er  0.500  0.500  0.500

Output
* total moment: 0.000 μB per formula unit
* symmetry: No. 166
* relative energy among the computed polymorphs: 0.0012 eV/atom
* ΔE_f: 0.7 eV per formula unit
* total DFT energy (no corrections): -5.83 eV per atom